# 1
NdBePd3 GGA-PBE optimized geometry; SG = P6_3/mmc, No. 194; DFT formation energy = -717 meV per atom; total energy = -5.531 eV per atom
1.0
5.578 0.000 0.000
0.000 5.159 -2.978
0.000 -0.001 5.956
Nd Be Pd
2 2 6
Direct
0.750 0.667 0.333
0.250 0.333 0.667
0.000 0.000 0.000
0.500 0.000 0.000
0.750 0.651 0.826
0.250 0.826 0.651
0.250 0.349 0.174
0.750 0.174 0.349
0.250 0.826 0.174
0.750 0.174 0.826



# 2
La8Tb3Pm4 GGA-PBE optimized geometry; SG = R-3m, No. 166; DFT formation energy = 127 meV per atom; total energy = -4.694 eV per atom
1.0
6.263 0.000 3.378
2.221 5.857 3.378
-2.678 -1.849 12.461
La Tb Pm
8 3 4
Direct
0.247 0.247 0.260
0.251 0.749 0.251
0.749 0.749 0.251
0.749 0.251 0.251
0.753 0.753 0.740
0.749 0.251 0.749
0.251 0.251 0.749
0.251 0.749 0.749
0.500 0.000 0.500
0.000 0.000 0.500
0.000 0.500 0.500
0.000 0.000 0.000
0.335 0.335 0.996
0.500 0.500 0.500
0.665 0.665 0.004